Record 1
# NaTe3Rh (PBE, relaxed)
# - spin magnetization (μB/f.u.) = 0.0
# - SG = No. 221
# - uncorrected formation energy (eV per atom) = -0.03
# - DFT total energy (eV/atom) = -3.652
# - energy relative to the lowest polymorph listed for this composition (kcal/mol of atoms) = 0.00
data_NaTe3Rh
_symmetry_space_group_name_H-M 'P 1'
_symmetry_Int_Tables_number 1
_cell_length_a 5.321
_cell_length_b 5.321
_cell_length_c 5.321
_cell_angle_alpha 90.00
_cell_angle_beta 90.00
_cell_angle_gamma 90.00
loop_
_symmetry_equiv_pos_as_xyz
'x,y,z'
loop_
_atom_site_label
_atom_site_type_symbol
_atom_site_fract_x
_atom_site_fract_y
_atom_site_fract_z
Na1 Na 0.000 0.000 0.000
Te1 Te 0.000 0.500 0.500
Te2 Te 0.500 0.000 0.500
Te3 Te 0.500 0.500 0.000
Rh1 Rh 0.500 0.500 0.500

***

Record 2
# Ca2YW (PBE, relaxed)
# - spin magnetization (μB/f.u.) = 0.0
# - SG = No. 10
# - DFT formation energy (meV/atom) = 805.5
# - DFT total energy (eV/atom) = -5.050
# - energy relative to the lowest polymorph listed for this composition (kcal/mol of atoms) = 4.80
data_Ca2YW
_symmetry_space_group_name_H-M 'P 1'
_symmetry_Int_Tables_number 1
_cell_length_a 3.168
_cell_length_b 5.637
_cell_length_c 5.996
_cell_angle_alpha 90.00
_cell_angle_beta 95.76
_cell_angle_gamma 90.00
loop_
_symmetry_equiv_pos_as_xyz
'x,y,z'
loop_
_atom_site_label
_atom_site_type_symbol
_atom_site_fract_x
_atom_site_fract_y
_atom_site_fract_z
Ca1 Ca 0.237 0.000 0.268
Ca2 Ca 0.763 0.000 0.732
Y1 Y 0.500 0.500 0.000
W1 W 0.000 0.500 0.500

***

Record 3
# LaZr2TiO8 (PBE, relaxed)
# - spin magnetization (μB/f.u.) = 0.9
# - SG = No. 65
# - uncorrected formation energy (eV per atom) = -3.01
# - DFT total energy (eV/atom) = -8.807
data_LaZr2TiO8
_symmetry_space_group_name_H-M 'P 1'
_symmetry_Int_Tables_number 1
_cell_length_a 4.960
_cell_length_b 4.960
_cell_length_c 6.742
_cell_angle_alpha 90.00
_cell_angle_beta 90.00
_cell_angle_gamma 92.12
loop_
_symmetry_equiv_pos_as_xyz
'x,y,z'
loop_
_atom_site_label
_atom_site_type_symbol
_atom_site_fract_x
_atom_site_fract_y
_atom_site_fract_z
La1 La 0.000 0.000 0.000
Zr1 Zr 0.500 0.500 0.256
Zr2 Zr 0.500 0.500 0.744
Ti1 Ti 0.000 0.000 0.500
O1 O 0.198 0.198 0.293
O2 O 0.198 0.198 0.707
O3 O 0.295 0.705 0.500
O4 O 0.326 0.674 0.000
O5 O 0.674 0.326 0.000
O6 O 0.705 0.295 0.500
O7 O 0.802 0.802 0.293
O8 O 0.802 0.802 0.707

***

Record 4
# La2Pm7ErTl2 (PBE, relaxed)
# - spin magnetization (μB/f.u.) = 0.0
# - SG = No. 12
# - DFT formation energy (meV/atom) = -40.1
# - DFT total energy (eV/atom) = -4.407
data_La2Pm7ErTl2
_symmetry_space_group_name_H-M 'P 1'
_symmetry_Int_Tables_number 1
_cell_length_a 6.148
_cell_length_b 6.148
_cell_length_c 11.422
_cell_angle_alpha 90.04
_cell_angle_beta 90.04
_cell_angle_gamma 69.26
loop_
_symmetry_equiv_pos_as_xyz
'x,y,z'
loop_
_atom_site_label
_atom_site_type_symbol
_atom_site_fract_x
_atom_site_fract_y
_atom_site_fract_z
La1 La 0.000 0.000 0.146
La2 La 0.000 0.000 0.854
Pm1 Pm 0.000 0.000 0.500
Pm2 Pm 0.000 0.500 0.335
Pm3 Pm 0.000 0.500 0.665
Pm4 Pm 0.320 0.320 0.000
Pm5 Pm 0.500 0.000 0.335
Pm6 Pm 0.500 0.000 0.665
Pm7 Pm 0.680 0.680 0.000
Er1 Er 0.500 0.500 0.500
Tl1 Tl 0.500 0.500 0.230
Tl2 Tl 0.500 0.500 0.770

***

Record 5
# SiPtRh2 (PBE, relaxed)
# - spin magnetization (μB/f.u.) = 0.0
# - SG = No. 10
# - uncorrected formation energy (eV per atom) = -0.39
# - DFT total energy (eV/atom) = -6.933
data_SiPtRh2
_symmetry_space_group_name_H-M 'P 1'
_symmetry_Int_Tables_number 1
_cell_length_a 2.830
_cell_length_b 3.817
_cell_length_c 5.424
_cell_angle_alpha 90.00
_cell_angle_beta 102.55
_cell_angle_gamma 90.00
loop_
_symmetry_equiv_pos_as_xyz
'x,y,z'
loop_
_atom_site_label
_atom_site_type_symbol
_atom_site_fract_x
_atom_site_fract_y
_atom_site_fract_z
Si1 Si 0.000 0.000 0.000
Pt1 Pt 0.000 0.000 0.500
Rh1 Rh 0.368 0.500 0.226
Rh2 Rh 0.632 0.500 0.774

***

Record 6
# Y6Ho5Sc (PBE, relaxed)
# - spin magnetization (μB/f.u.) = 0.0
# - SG = No. 71
# - DFT formation energy (meV/atom) = 33.6
# - DFT total energy (eV/atom) = -5.633
data_Y6Ho5Sc
_symmetry_space_group_name_H-M 'P 1'
_symmetry_Int_Tables_number 1
_cell_length_a 9.340
_cell_length_b 9.340
_cell_length_c 9.340
_cell_angle_alpha 149.08
_cell_angle_beta 115.47
_cell_angle_gamma 73.27
loop_
_symmetry_equiv_pos_as_xyz
'x,y,z'
loop_
_atom_site_label
_atom_site_type_symbol
_atom_site_fract_x
_atom_site_fract_y
_atom_site_fract_z
Y1 Y 0.082 0.334 0.748
Y2 Y 0.246 0.000 0.246
Y3 Y 0.414 0.666 0.748
Y4 Y 0.586 0.334 0.252
Y5 Y 0.754 0.000 0.754
Y6 Y 0.918 0.666 0.252
Ho1 Ho 0.165 0.165 0.000
Ho2 Ho 0.334 0.834 0.500
Ho3 Ho 0.500 0.500 0.000
Ho4 Ho 0.666 0.166 0.500
Ho5 Ho 0.835 0.835 0.000
Sc1 Sc 0.000 0.500 0.500